# 1
A plane-wave DFT calculation with GGA-PBE was carried out for a relaxed Zn4RhAu crystal.

The structure in CIF format:
```
data_Zn4RhAu
_cell_length_a 7.051
_cell_length_b 7.051
_cell_length_c 7.051
_cell_angle_alpha 90.00
_cell_angle_beta 90.00
_cell_angle_gamma 90.00
_symmetry_space_group_name_H-M 'F -4 3 m'
_symmetry_Int_Tables_number 216
_symmetry_space_group_name_Hall 'F -4 2 3'
loop_
_atom_site_label
_atom_site_type_symbol
_atom_site_fract_x
_atom_site_fract_y
_atom_site_fract_z
Zn1 Zn 0.125 0.125 0.125
Rh1 Rh 0.000 0.000 0.500
Au1 Au 0.250 0.250 0.750
```

Energy above the lowest structure with this stoichiometry: 0.71 eV per formula unit
Calculated total energy: -65.63 eV per cell

# 2
A plane-wave DFT calculation with GGA-PBE was carried out for a relaxed Zn2RhAu2 crystal.

The structure in CIF format:
```
data_Zn2RhAu2
_cell_length_a 6.883
_cell_length_b 6.883
_cell_length_c 3.393
_cell_angle_alpha 90.00
_cell_angle_beta 90.00
_cell_angle_gamma 90.00
_symmetry_space_group_name_H-M 'P 4/m b m'
_symmetry_Int_Tables_number 127
_symmetry_space_group_name_Hall '-P 4 2ab'
loop_
_atom_site_label
_atom_site_type_symbol
_atom_site_fract_x
_atom_site_fract_y
_atom_site_fract_z
Zn1 Zn 0.136 0.364 0.000
Rh1 Rh 0.000 0.000 0.000
Au1 Au 0.166 0.666 0.500
```

Energy above the lowest structure with this stoichiometry: 0.98 eV per formula unit
Calculated total energy: -33.56 eV per cell

# 3
A plane-wave DFT calculation with GGA-PBE was carried out for a relaxed Zn3RhAu3 crystal.

The structure in CIF format:
```
data_Zn3RhAu3
_cell_length_a 8.622
_cell_length_b 7.616
_cell_length_c 7.125
_cell_angle_alpha 90.00
_cell_angle_beta 90.03
_cell_angle_gamma 90.00
_symmetry_space_group_name_H-M 'C 1 2/m 1'
_symmetry_Int_Tables_number 12
loop_
_symmetry_equiv_pos_as_xyz
'x,y,z'
'-x,-y,-z'
'-x,y,-z'
'x,-y,z'
'x+1/2,y+1/2,z'
'-x+1/2,-y+1/2,-z'
'-x+1/2,y+1/2,-z'
'x+1/2,-y+1/2,z'
loop_
_atom_site_label
_atom_site_type_symbol
_atom_site_fract_x
_atom_site_fract_y
_atom_site_fract_z
Zn1 Zn 0.001 0.000 0.232
Zn2 Zn 0.250 0.248 0.241
Rh1 Rh 0.225 0.000 0.998
Au1 Au 0.000 0.300 0.000
Au2 Au 0.000 0.307 0.500
Au3 Au 0.215 0.000 0.503
```

Calculated total energy: -89.43 eV per cell

# 4
A plane-wave DFT calculation with GGA-PBE was carried out for a relaxed Zn4RhAu crystal.

The structure in CIF format:
```
data_Zn4RhAu
_cell_length_a 6.964
_cell_length_b 7.546
_cell_length_c 4.239
_cell_angle_alpha 90.00
_cell_angle_beta 127.27
_cell_angle_gamma 90.00
_symmetry_space_group_name_H-M 'C 1 2/m 1'
_symmetry_Int_Tables_number 12
loop_
_symmetry_equiv_pos_as_xyz
'x,y,z'
'-x,-y,-z'
'-x,y,-z'
'x,-y,z'
'x+1/2,y+1/2,z'
'-x+1/2,-y+1/2,-z'
'-x+1/2,y+1/2,-z'
'x+1/2,-y+1/2,z'
loop_
_atom_site_label
_atom_site_type_symbol
_atom_site_fract_x
_atom_site_fract_y
_atom_site_fract_z
Zn1 Zn 0.243 0.165 0.243
Rh1 Rh 0.000 0.000 0.500
Au1 Au 0.000 0.500 0.000
```

Energy above the lowest structure with this stoichiometry: 0.00 eV per formula unit
Calculated total energy: -34.24 eV per cell

# 5
A plane-wave DFT calculation with GGA-PBE was carried out for a relaxed Zn8RhAu5 crystal.

The structure in CIF format:
```
data_Zn8RhAu5
_cell_length_a 7.847
_cell_length_b 7.847
_cell_length_c 7.595
_cell_angle_alpha 90.00
_cell_angle_beta 90.00
_cell_angle_gamma 90.00
_symmetry_space_group_name_H-M 'I -4'
_symmetry_Int_Tables_number 82
loop_
_symmetry_equiv_pos_as_xyz
'x,y,z'
'y,-x,-z'
'-x,-y,z'
'-y,x,-z'
'x+1/2,y+1/2,z+1/2'
'y+1/2,-x+1/2,-z+1/2'
'-x+1/2,-y+1/2,z+1/2'
'-y+1/2,x+1/2,-z+1/2'
loop_
_atom_site_label
_atom_site_type_symbol
_atom_site_fract_x
_atom_site_fract_y
_atom_site_fract_z
Zn1 Zn 0.067 0.340 0.453
Zn2 Zn 0.095 0.187 0.776
Rh1 Rh 0.000 0.500 0.750
Au1 Au 0.000 0.000 0.500
Au2 Au 0.113 0.226 0.121
```

Calculated total energy: -72.25 eV per cell

# 6
A plane-wave DFT calculation with GGA-PBE was carried out for a relaxed Zn2RhAu crystal.

The structure in CIF format:
```
data_Zn2RhAu
_cell_length_a 9.484
_cell_length_b 3.015
_cell_length_c 4.453
_cell_angle_alpha 90.00
_cell_angle_beta 108.43
_cell_angle_gamma 90.00
_symmetry_space_group_name_H-M 'C 1 m 1'
_symmetry_Int_Tables_number 8
loop_
_symmetry_equiv_pos_as_xyz
'x,y,z'
'x,-y,z'
'x+1/2,y+1/2,z'
'x+1/2,-y+1/2,z'
loop_
_atom_site_label
_atom_site_type_symbol
_atom_site_fract_x
_atom_site_fract_y
_atom_site_fract_z
Zn1 Zn 0.000 0.000 0.000
Zn2 Zn 0.250 0.000 0.638
Rh1 Rh 0.010 0.500 0.515
Au1 Au 0.248 0.500 0.140
```

Calculated total energy: -28.44 eV per cell

# 7
A plane-wave DFT calculation with GGA-PBE was carried out for a relaxed Zn6RhAu3 crystal.

The structure in CIF format:
```
data_Zn6RhAu3
_cell_length_a 8.544
_cell_length_b 4.025
_cell_length_c 9.083
_cell_angle_alpha 90.00
_cell_angle_beta 94.63
_cell_angle_gamma 90.00
_symmetry_space_group_name_H-M 'P 1 21/m 1'
_symmetry_Int_Tables_number 11
loop_
_symmetry_equiv_pos_as_xyz
'x,y,z'
'-x,-y,-z'
'-x,y+1/2,-z'
'x,-y+1/2,z'
loop_
_atom_site_label
_atom_site_type_symbol
_atom_site_fract_x
_atom_site_fract_y
_atom_site_fract_z
Zn1 Zn 0.044 0.250 0.397
Zn2 Zn 0.143 0.750 0.193
Zn3 Zn 0.277 0.250 0.993
Zn4 Zn 0.350 0.250 0.288
Zn5 Zn 0.370 0.750 0.816
Zn6 Zn 0.448 0.250 0.605
Rh1 Rh 0.434 0.750 0.114
Au1 Au 0.064 0.750 0.904
Au2 Au 0.156 0.250 0.694
Au3 Au 0.259 0.750 0.477
```

Energy above the lowest structure with this stoichiometry: 0.00 eV per formula unit
Calculated total energy: -54.19 eV per cell

# 8
A plane-wave DFT calculation with GGA-PBE was carried out for a relaxed Zn2RhAu crystal.

The structure in CIF format:
```
data_Zn2RhAu
_cell_length_a 2.913
_cell_length_b 4.785
_cell_length_c 8.938
_cell_angle_alpha 90.00
_cell_angle_beta 90.00
_cell_angle_gamma 90.00
_symmetry_space_group_name_H-M 'C m m 2'
_symmetry_Int_Tables_number 35
loop_
_symmetry_equiv_pos_as_xyz
'x,y,z'
'-x,-y,z'
'-x,y,z'
'x,-y,z'
'x+1/2,y+1/2,z'
'-x+1/2,-y+1/2,z'
'-x+1/2,y+1/2,z'
'x+1/2,-y+1/2,z'
loop_
_atom_site_label
_atom_site_type_symbol
_atom_site_fract_x
_atom_site_fract_y
_atom_site_fract_z
Zn1 Zn 0.000 0.000 0.000
Zn2 Zn 0.000 0.500 0.245
Rh1 Rh 0.000 0.000 0.475
Au1 Au 0.000 0.500 0.745
```

Calculated total energy: -26.44 eV per cell

# 9
A plane-wave DFT calculation with GGA-PBE was carried out for a relaxed Zn12Rh2Au5 crystal.

The structure in CIF format:
```
data_Zn12Rh2Au5
_cell_length_a 12.550
_cell_length_b 7.537
_cell_length_c 6.361
_cell_angle_alpha 90.00
_cell_angle_beta 90.41
_cell_angle_gamma 90.00
_symmetry_space_group_name_H-M 'C 1 2/m 1'
_symmetry_Int_Tables_number 12
loop_
_symmetry_equiv_pos_as_xyz
'x,y,z'
'-x,-y,-z'
'-x,y,-z'
'x,-y,z'
'x+1/2,y+1/2,z'
'-x+1/2,-y+1/2,-z'
'-x+1/2,y+1/2,-z'
'x+1/2,-y+1/2,z'
loop_
_atom_site_label
_atom_site_type_symbol
_atom_site_fract_x
_atom_site_fract_y
_atom_site_fract_z
Zn1 Zn 0.056 0.000 0.186
Zn2 Zn 0.091 0.500 0.604
Zn3 Zn 0.115 0.206 0.842
Zn4 Zn 0.157 0.303 0.269
Rh1 Rh 0.000 0.200 0.500
Au1 Au 0.000 0.500 0.000
Au2 Au 0.200 0.000 0.525
Au3 Au 0.236 0.500 0.944
```

Calculated total energy: -100.30 eV per cell

# 10
A plane-wave DFT calculation with GGA-PBE was carried out for a relaxed Zn9Rh2Au crystal.

The structure in CIF format:
```
data_Zn9Rh2Au
_cell_length_a 3.851
_cell_length_b 3.851
_cell_length_c 11.748
_cell_angle_alpha 90.00
_cell_angle_beta 90.00
_cell_angle_gamma 90.00
_symmetry_space_group_name_H-M 'P 4/m m m'
_symmetry_Int_Tables_number 123
_symmetry_space_group_name_Hall '-P 4 2'
loop_
_atom_site_label
_atom_site_type_symbol
_atom_site_fract_x
_atom_site_fract_y
_atom_site_fract_z
Zn1 Zn 0.000 0.000 0.000
Zn2 Zn 0.000 0.000 0.336
Zn3 Zn 0.000 0.500 0.177
Zn4 Zn 0.000 0.500 0.500
Rh1 Rh 0.500 0.500 0.342
Au1 Au 0.500 0.500 0.000
```

Calculated total energy: -32.59 eV per cell

# 11
A plane-wave DFT calculation with GGA-PBE was carried out for a relaxed Zn12RhAu6 crystal.

The structure in CIF format:
```
data_Zn12RhAu6
_cell_length_a 10.1601
_cell_length_b 10.1601
_cell_length_c 10.6966
_cell_angle_alpha 90.00
_cell_angle_beta 90.00
_cell_angle_gamma 120.00
_symmetry_space_group_name_H-M 'R -3'
_symmetry_Int_Tables_number 148
_symmetry_space_group_name_Hall '-R 3'
loop_
_atom_site_label
_atom_site_type_symbol
_atom_site_fract_x
_atom_site_fract_y
_atom_site_fract_z
Zn1 Zn 0.0910 0.9079 0.3143
Zn2 Zn 0.0988 0.1984 0.8926
Rh1 Rh 0.0000 0.0000 0.5000
Au1 Au 0.0145 0.5080 0.2238
```

Calculated total energy: -134.87 eV per cell

# 12
A plane-wave DFT calculation with GGA-PBE was carried out for a relaxed Zn5RhAu4 crystal.

The structure in CIF format:
```
data_Zn5RhAu4
_cell_length_a 3.167
_cell_length_b 3.167
_cell_length_c 15.670
_cell_angle_alpha 90.00
_cell_angle_beta 90.00
_cell_angle_gamma 90.00
_symmetry_space_group_name_H-M 'P 4/m m m'
_symmetry_Int_Tables_number 123
_symmetry_space_group_name_Hall '-P 4 2'
loop_
_atom_site_label
_atom_site_type_symbol
_atom_site_fract_x
_atom_site_fract_y
_atom_site_fract_z
Zn1 Zn 0.000 0.000 0.000
Zn2 Zn 0.000 0.000 0.205
Zn3 Zn 0.000 0.000 0.411
Rh1 Rh 0.500 0.500 0.500
Au1 Au 0.500 0.500 0.103
Au2 Au 0.500 0.500 0.308
```

Calculated total energy: -29.36 eV per cell

no.,formation enthalpy at 0 K (eV per formula unit)
1,-0.68
2,-0.32
3,-1.35
4,-1.39
5,-2.19
6,-1.04
7,-2.27
8,-0.05
9,-3.77
10,-3.14
11,-2.65
12,-2.53